# 1
! GGA-PBEsol Sm3Eu3S8, optimized geometry; values from VASP
! * D(E_F): 46.6 states/eV/cell
! * DFT total energy: -0.2947 Ha/atom
&SYSTEM
  ibrav = 0, nat = 14, ntyp = 3
/
ATOMIC_SPECIES
Sm 150.36 Sm.upf
Eu 151.96 Eu.upf
S 32.06 S.upf
ATOMIC_POSITIONS crystal
Sm 0.000 0.000 0.000
Sm 0.498 0.254 0.125
Sm 0.746 0.502 0.875
Eu 0.125 0.376 0.624
Eu 0.246 0.754 0.500
Eu 0.624 0.875 0.376
S 0.023 0.131 0.757
S 0.218 0.626 0.097
S 0.374 0.782 0.903
S 0.375 0.275 0.397
S 0.529 0.130 0.756
S 0.725 0.625 0.603
S 0.869 0.977 0.243
S 0.870 0.471 0.244
CELL_PARAMETERS angstrom
5.950 -4.207 0.000
5.950 4.207 0.000
-5.935 0.000 5.958

***

# 2
! GGA-PBEsol TbEu4S5, optimized geometry; values from VASP
! * D(E_F): 19.0 states/eV/cell
! * DFT total energy: -0.3356 Ha/atom
&SYSTEM
  ibrav = 0, nat = 10, ntyp = 3
/
ATOMIC_SPECIES
Tb 158.93 Tb.upf
Eu 151.96 Eu.upf
S 32.06 S.upf
ATOMIC_POSITIONS crystal
Tb 0.000 0.000 0.000
Eu 0.199 0.199 0.000
Eu 0.401 0.401 0.000
Eu 0.599 0.599 0.000
Eu 0.801 0.801 0.000
S 0.097 0.097 0.000
S 0.300 0.300 0.000
S 0.500 0.500 0.000
S 0.700 0.700 0.000
S 0.903 0.903 0.000
CELL_PARAMETERS angstrom
-2.006 2.006 14.181
2.006 -2.006 14.181
2.006 2.006 -14.181

***

# 3
! GGA-PBEsol EuZrS3, optimized geometry; values from VASP
! * D(E_F): 53.3 states/eV/cell
! * DFT total energy: -0.3095 Ha/atom
&SYSTEM
  ibrav = 0, nat = 20, ntyp = 3
/
ATOMIC_SPECIES
Eu 151.96 Eu.upf
Zr 91.22 Zr.upf
S 32.06 S.upf
ATOMIC_POSITIONS crystal
Eu 0.100 0.250 0.038
Eu 0.400 0.750 0.538
Eu 0.600 0.250 0.462
Eu 0.900 0.750 0.962
Zr 0.000 0.000 0.500
Zr 0.000 0.500 0.500
Zr 0.500 0.000 0.000
Zr 0.500 0.500 0.000
S 0.027 0.750 0.381
S 0.189 0.559 0.823
S 0.189 0.941 0.823
S 0.311 0.059 0.323
S 0.311 0.441 0.323
S 0.473 0.250 0.881
S 0.527 0.750 0.119
S 0.689 0.559 0.677
S 0.689 0.941 0.677
S 0.811 0.059 0.177
S 0.811 0.441 0.177
S 0.973 0.250 0.619
CELL_PARAMETERS angstrom
7.099 0.000 0.000
0.000 9.549 0.000
0.000 0.000 6.457

***

# 4
! GGA-PBEsol EuSb2, optimized geometry; values from VASP
! * D(E_F): 20.6 states/eV/cell
! * DFT total energy: -0.2705 Ha/atom
&SYSTEM
  ibrav = 0, nat = 12, ntyp = 2
/
ATOMIC_SPECIES
Eu 151.96 Eu.upf
Sb 121.76 Sb.upf
ATOMIC_POSITIONS crystal
Eu 0.000 0.103 0.250
Eu 0.000 0.897 0.750
Eu 0.500 0.397 0.750
Eu 0.500 0.603 0.250
Sb 0.000 0.253 0.750
Sb 0.000 0.438 0.250
Sb 0.000 0.562 0.750
Sb 0.000 0.747 0.250
Sb 0.500 0.062 0.750
Sb 0.500 0.247 0.250
Sb 0.500 0.753 0.750
Sb 0.500 0.938 0.250
CELL_PARAMETERS angstrom
4.547 0.000 0.000
0.000 16.594 0.000
0.000 0.000 4.331

***

# 5
! GGA-PBEsol EuSc2Se4, optimized geometry; values from VASP
! * D(E_F): 54.7 states/eV/cell
! * DFT total energy: -0.2734 Ha/atom
&SYSTEM
  ibrav = 0, nat = 28, ntyp = 3
/
ATOMIC_SPECIES
Eu 151.96 Eu.upf
Sc 44.96 Sc.upf
Se 78.96 Se.upf
ATOMIC_POSITIONS crystal
Eu 0.238 0.250 0.170
Eu 0.262 0.750 0.670
Eu 0.738 0.250 0.330
Eu 0.762 0.750 0.830
Sc 0.058 0.250 0.390
Sc 0.083 0.250 0.905
Sc 0.417 0.750 0.405
Sc 0.442 0.750 0.890
Sc 0.558 0.250 0.110
Sc 0.583 0.250 0.595
Sc 0.917 0.750 0.095
Sc 0.942 0.750 0.610
Se 0.029 0.750 0.785
Se 0.093 0.250 0.576
Se 0.129 0.750 0.032
Se 0.204 0.750 0.335
Se 0.296 0.250 0.835
Se 0.371 0.250 0.532
Se 0.407 0.750 0.076
Se 0.471 0.250 0.285
Se 0.529 0.750 0.715
Se 0.593 0.250 0.924
Se 0.629 0.750 0.468
Se 0.704 0.750 0.165
Se 0.796 0.250 0.665
Se 0.871 0.250 0.968
Se 0.907 0.750 0.424
Se 0.971 0.250 0.215
CELL_PARAMETERS angstrom
11.926 0.000 0.000
0.000 3.882 0.000
0.000 0.000 14.055

***

# 6
! GGA-PBEsol EuSe, optimized geometry; values from VASP
! * D(E_F): 32.5 states/eV/cell
! * DFT total energy: -0.3410 Ha/atom
&SYSTEM
  ibrav = 0, nat = 8, ntyp = 2
/
ATOMIC_SPECIES
Eu 151.96 Eu.upf
Se 78.96 Se.upf
ATOMIC_POSITIONS crystal
Eu 0.000 0.000 0.000
Eu 0.000 0.500 0.500
Eu 0.500 0.000 0.500
Eu 0.500 0.500 0.000
Se 0.000 0.000 0.500
Se 0.000 0.500 0.000
Se 0.500 0.000 0.000
Se 0.500 0.500 0.500
CELL_PARAMETERS angstrom
5.982 0.000 0.000
0.000 5.982 0.000
0.000 0.000 5.982

***

Q: What is the D(E_F) in the second record?
A: 19.0 states/eV/cell